First-principles (GGA-PBE) data for crystalline Sr3HfGa at its relaxed geometry, as listed in Alexandria via LeMat-Bulk.

Cell: 6.1437 6.1437 6.1437 Å, 90.00 90.00 90.00°
Space group Pm-3m (No. 221)
Inequivalent atoms, fractional coordinates:
Sr 0.0000 0.0000 0.5000 (multiplicity 3)
Hf 0.0000 0.0000 0.0000 (multiplicity 1)
Ga 0.5000 0.5000 0.5000 (multiplicity 1)

Values from the calculation:
- energy above the lowest structure with this stoichiometry (eV per formula unit) = 1.57
- energy of formation from the pure elements (kJ per mole of atoms) = 94



First-principles (GGA-PBE) data for crystalline BeAl2O4 at its relaxed geometry, as listed in Alexandria via LeMat-Bulk.

Cell: 4.3512 4.3512 7.5350 Å, 90.00 90.00 90.00°
Space group I-42m (No. 121)
Inequivalent atoms, fractional coordinates:
Be 0.0000 0.0000 0.0000 (multiplicity 2)
Al 0.0000 0.5000 0.2500 (multiplicity 4)
O 0.2129 0.2129 0.8694 (multiplicity 8)

Values from the calculation:
- ΔE_f (raw) (eV/atom) = -2.862



First-principles (GGA-PBE) data for crystalline AgBr2 at its relaxed geometry, as listed in Alexandria via LeMat-Bulk.

Cell: 3.7123 3.7123 23.0349 Å, 90.00 90.00 90.00°
Space group I4_1/amd (No. 141, origin choice 2)
Inequivalent atoms, fractional coordinates:
Ag 0.0000 0.2500 0.3750 (multiplicity 4)
Br 0.0000 0.2500 0.8081 (multiplicity 8)

Values from the calculation:
- ΔE_f (raw) (eV/atom) = 0.051



First-principles (GGA-PBE) data for crystalline BeSb2Br at its relaxed geometry, as listed in Alexandria via LeMat-Bulk.

Cell: 3.3617 5.0078 11.2092 Å, 90.00 90.00 90.00°
Space group Immm (No. 71)
Inequivalent atoms, fractional coordinates:
Be 0.0000 0.0000 0.0000 (multiplicity 2)
Sb 0.0000 0.5000 0.3145 (multiplicity 4)
Br 0.0000 0.0000 0.5000 (multiplicity 2)

Values from the calculation:
- ΔE_f (raw) (eV/atom) = 0.272
- energy above the lowest structure with this stoichiometry (eV per formula unit) = 1.38



First-principles (GGA-PBE) data for crystalline V3Ir2Pt at its relaxed geometry, as listed in Alexandria via LeMat-Bulk.

Cell: 3.8738 7.4804 11.6436 Å, 90.00 90.00 90.00°
Space group Imma (No. 74)
Inequivalent atoms, fractional coordinates:
V 0.0000 0.0000 0.0000 (multiplicity 4)
V 0.0000 0.0079 0.3352 (multiplicity 8)
Ir 0.0000 0.2500 0.1657 (multiplicity 4)
Ir 0.0000 0.2500 0.5024 (multiplicity 4)
Pt 0.0000 0.2500 0.8322 (multiplicity 4)

Values from the calculation:
- energy above the lowest structure with this stoichiometry (eV per formula unit) = 0.00
- energy of formation from the pure elements (kJ per mole of atoms) = -52



First-principles (GGA-PBE) data for crystalline Tm2PaAu at its relaxed geometry, as listed in Alexandria via LeMat-Bulk.

Cell: 3.4823 3.4823 8.1549 Å, 90.00 90.00 90.00°
Space group P4/mmm (No. 123)
Inequivalent atoms, fractional coordinates:
Tm 0.0000 0.0000 0.2206 (multiplicity 2)
Pa 0.5000 0.5000 0.5000 (multiplicity 1)
Au 0.5000 0.5000 0.0000 (multiplicity 1)

Values from the calculation:
- energy above the lowest structure with this stoichiometry (eV per formula unit) = 0.00
- energy of formation from the pure elements (kJ per mole of atoms) = -30



First-principles (GGA-PBE) data for crystalline Sn2BiNF at its relaxed geometry, as listed in Alexandria via LeMat-Bulk.

Cell: 4.8216 4.8216 4.3364 Å, 90.00 90.00 90.00°
Space group P4/mmm (No. 123)
Inequivalent atoms, fractional coordinates:
Sn 0.0000 0.5000 0.0000 (multiplicity 2)
Bi 0.0000 0.0000 0.5000 (multiplicity 1)
N 0.5000 0.5000 0.0000 (multiplicity 1)
F 0.5000 0.5000 0.5000 (multiplicity 1)

Values from the calculation:
- ΔE_f (raw) (eV/atom) = 0.192



First-principles (GGA-PBE) data for crystalline PmPrNd2Tl4 at its relaxed geometry, as listed in Alexandria via LeMat-Bulk.

Cell: 5.5215 5.5215 27.0783 Å, 90.00 90.00 120.00°
Space group R-3m (No. 166, hexagonal axes)
Inequivalent atoms, fractional coordinates:
Pm 0.0000 0.0000 0.0000 (multiplicity 3)
Pr 0.0000 0.0000 0.5000 (multiplicity 3)
Nd 0.0000 0.0000 0.2501 (multiplicity 6)
Tl 0.0000 0.0000 0.1244 (multiplicity 6)
Tl 0.0000 0.0000 0.3744 (multiplicity 6)

Values from the calculation:
- energy of formation from the pure elements (kJ per mole of atoms) = -37



First-principles (GGA-PBE) data for crystalline CaCdSe2 at its relaxed geometry, as listed in Alexandria via LeMat-Bulk.

Cell: 4.1655 6.9505 7.5599 Å, 90.00 90.00 90.00°
Space group Cmmm (No. 65)
Inequivalent atoms, fractional coordinates:
Ca 0.0000 0.0000 0.0000 (multiplicity 2)
Cd 0.0000 0.0000 0.5000 (multiplicity 2)
Se 0.0000 0.5000 0.2578 (multiplicity 4)

Values from the calculation:
- ΔE_f (raw) (eV/atom) = -0.929



First-principles (GGA-PBE) data for crystalline AcPmSnTe at its relaxed geometry, as listed in Alexandria via LeMat-Bulk.

Cell: 8.0026 8.0026 8.0026 Å, 90.00 90.00 90.00°
Space group F-43m (No. 216)
Inequivalent atoms, fractional coordinates:
Ac 0.0000 0.0000 0.0000 (multiplicity 4)
Pm 0.0000 0.0000 0.5000 (multiplicity 4)
Sn 0.2500 0.2500 0.7500 (multiplicity 4)
Te 0.2500 0.2500 0.2500 (multiplicity 4)

Values from the calculation:
- ΔE_f (raw) (eV/atom) = -0.879



Number 1: raw total energy -2.63 eV/atom. Number 2: raw total energy -7.30 eV/atom. Number 3: raw total energy -2.01 eV/atom. Number 4: raw total energy -3.14 eV/atom. Number 5: raw total energy -9.06 eV/atom. Number 6: raw total energy -5.74 eV/atom. Number 7: raw total energy -4.22 eV/atom. Number 8: raw total energy -3.95 eV/atom. Number 9: raw total energy -3.40 eV/atom. Number 10: raw total energy -4.88 eV/atom.